# K2Tl2HgBr6 | Alexandria via LeMat-Bulk | PBE-GGA | optimized geometry
# E_tot, eV/atom: -2.621
# Raw formation energy, eV/atom: -1.052
data_K2Tl2HgBr6
_chemical_formula_sum 'K4 Tl4 Hg2 Br12'
_cell_length_a 8.189
_cell_length_b 13.472
_cell_length_c 8.032
_cell_angle_alpha 90.00
_cell_angle_beta 109.49
_cell_angle_gamma 90.00
_symmetry_space_group_name_H-M 'C 1 2/m 1'
_symmetry_Int_Tables_number 12
loop_
_symmetry_equiv_pos_as_xyz
'x,y,z'
'-x,-y,-z'
'-x,y,-z'
'x,-y,z'
'x+1/2,y+1/2,z'
'-x+1/2,-y+1/2,-z'
'-x+1/2,y+1/2,-z'
'x+1/2,-y+1/2,z'
loop_
_atom_site_label
_atom_site_type_symbol
_atom_site_fract_x
_atom_site_fract_y
_atom_site_fract_z
_atom_site_occupancy
K1 K 0.000 0.163 0.000 1
Tl1 Tl 0.000 0.318 0.500 1
Hg1 Hg 0.000 0.500 0.000 1
Br1 Br 0.202 0.500 0.778 1
Br2 Br 0.226 0.347 0.228 1